A plane-wave DFT calculation with PBE was carried out for a relaxed CsSmTl2 crystal.

Cell: 11.355 11.355 11.355 Å, 20.08 20.08 20.08°
Element x y z (fractional)
Cs: 0.000 0.000 0.000
Sm: 0.500 0.500 0.500
Tl: 0.238 0.238 0.238
Tl: 0.762 0.762 0.762

As for the raw total energy: -10.4 eV/cell. The value obtained for the calculated formation energy is -0.0145 eV per atom. The value obtained for the polymorph energy (0 for the lowest one) is 0.172 eV per atom.